This record from Alexandria via LeMat-Bulk describes an optimized crystal structure of Ho3AlTl. The functional is PBE.

total energy = -4.064 eV/atom
calculated formation energy = -0.5 eV/f.u.
M_tot = 0.010 μB per formula unit
symmetry = No. 194

Cell: 5.1507 8.0253 8.0253 Å, 119.99 90.00 90.00°
With the nearest neighbours (Å) after each atom.
Atoms (fractional coordinates):
Ho 0.2500 0.8088 0.1912  2 Al 2.95, 2 Tl 3.25
Ho 0.7500 0.1912 0.8088  2 Al 2.95, 2 Tl 3.25
Ho 0.7500 0.1912 0.3823  2 Al 2.95, 2 Tl 3.25
Ho 0.7500 0.6177 0.8088  2 Al 2.95, 2 Tl 3.25
Ho 0.2500 0.8088 0.6177  2 Al 2.95, 2 Tl 3.25
Ho 0.2500 0.3823 0.1912  2 Al 2.95, 2 Tl 3.25
Al 0.5000 0.0000 0.0000  2 Al 2.58
Al 0.0000 0.0000 0.0000  2 Al 2.58
Tl 0.7500 0.6666 0.3334  6 Ho 3.25
Tl 0.2500 0.3334 0.6666  6 Ho 3.25


This record from Alexandria via LeMat-Bulk describes an optimized crystal structure of NaAcCd3. The functional is PBE.

total energy = -1.763 eV/atom
calculated formation energy = -0.6 eV/f.u.
M_tot = 0.000 μB per formula unit
symmetry = No. 63

Cell: 5.5677 6.9961 8.0812 Å, 115.65 90.00 90.00°
With the nearest neighbours (Å) after each atom.
Atoms (fractional coordinates):
Ac 0.7500 0.6182 0.2364  8 Cd 3.44-3.66
Ac 0.2500 0.3818 0.7636  8 Cd 3.44-3.66
Cd 0.2500 0.3796 0.3130  4 Cd 2.92-3.24, 2 Na 3.09
Cd 0.2500 0.8069 0.6138  6 Cd 2.92-3.24, 2 Na 3.14
Cd 0.7500 0.6204 0.6870  4 Cd 2.92-3.24, 2 Na 3.09
Cd 0.7500 0.1931 0.3862  6 Cd 2.92-3.24, 2 Na 3.14
Cd 0.7500 0.0666 0.6870  4 Cd 2.92-3.24, 2 Na 3.09
Cd 0.2500 0.9334 0.3130  4 Cd 2.92-3.24, 2 Na 3.09
Na 0.5000 0.0000 0.0000  2 Na 2.78, 4 Cd 3.09
Na 0.0000 0.0000 0.0000  2 Na 2.78, 4 Cd 3.09


Calculated DOS(E_F), 0.9768, 0.6372 states/eV/atom (same order as the records).